Here is ErHf2Mn after structural relaxation from Alexandria via LeMat-Bulk. Energies are from PBE.

```
4
Lattice="1.591 0.918 10.046 -1.591 0.918 10.046 0.000 -1.837 10.046" Properties=species:S:1:pos:R:3 pbc="T T T"
Er 0.000 0.000 0.000
Hf 0.000 0.000 3.175
Hf 0.000 0.000 26.964
Mn 0.000 0.000 15.070
```

The density of states at the Fermi level is 4.8 states/eV/f.u. The value obtained for the energy above the most stable polymorph in this dataset is 304 meV/atom. As for the space group: R-3m. The calculated total energy comes out at -8.06 eV per atom. For the density, the calculation gives 10.92 Mg/m³. For the energy relative to the elements, the calculation gives 1.40 eV/f.u.


Here is ErHfMo4 after structural relaxation from Alexandria via LeMat-Bulk. Energies are from PBE.

```
6
Lattice="0.000 3.834 3.834 3.834 0.000 3.834 3.834 3.834 0.000" Properties=species:S:1:pos:R:3 pbc="T T T"
Er 0.000 0.000 0.000
Hf 1.917 1.917 1.917
Mo 4.793 2.875 2.875
Mo 2.875 4.793 2.875
Mo 2.875 2.875 4.793
Mo 4.793 4.793 4.793
```

The density of states at the Fermi level is 5.6 states/eV/f.u. As for the space group: F-43m. The calculated total energy comes out at -9.68 eV per atom. For the density, the calculation gives 10.74 Mg/m³. For the energy relative to the elements, the calculation gives -0.23 eV/f.u.


Here is ErHf2Mo after structural relaxation from Alexandria via LeMat-Bulk. Energies are from PBE.

```
4
Lattice="1.612 0.930 10.368 -1.612 0.930 10.368 0.000 -1.861 10.368" Properties=species:S:1:pos:R:3 pbc="T T T"
Er 0.000 0.000 0.000
Hf 0.000 0.000 3.141
Hf 0.000 0.000 27.964
Mo 0.000 0.000 15.552
```

The density of states at the Fermi level is 5.1 states/eV/f.u. The value obtained for the energy above the most stable polymorph in this dataset is 296 meV/atom. As for the space group: R-3m. The calculated total energy comes out at -8.49 eV per atom. For the density, the calculation gives 11.04 Mg/m³. For the energy relative to the elements, the calculation gives 1.36 eV/f.u.


Here is ErHfMo after structural relaxation from Alexandria via LeMat-Bulk. Energies are from PBE.

```
3
Lattice="-1.742 1.742 5.507 1.742 -1.742 5.507 1.742 1.742 -5.507" Properties=species:S:1:pos:R:3 pbc="T T T"
Er 0.000 0.000 0.000
Hf 0.000 0.000 3.152
Mo 0.000 0.000 7.392
```

The density of states at the Fermi level is 3.4 states/eV/f.u. The value obtained for the energy above the most stable polymorph in this dataset is 0 meV/atom. As for the space group: I4mm. The calculated total energy comes out at -8.35 eV per atom. For the density, the calculation gives 10.97 Mg/m³. For the energy relative to the elements, the calculation gives 0.31 eV/f.u.


Here is ErHfMo after structural relaxation from Alexandria via LeMat-Bulk. Energies are from PBE.

```
6
Lattice="1.622 0.937 14.816 -1.622 0.937 14.816 0.000 -1.873 14.816" Properties=species:S:1:pos:R:3 pbc="T T T"
Er 0.000 0.000 5.869
Er 0.000 0.000 38.578
Hf 0.000 0.000 17.905
Hf 0.000 0.000 26.542
Mo 0.000 0.000 13.914
Mo 0.000 0.000 30.533
```

The density of states at the Fermi level is 3.9 states/eV/f.u. The value obtained for the energy above the most stable polymorph in this dataset is 156 meV/atom. As for the space group: R-3m. The calculated total energy comes out at -8.19 eV per atom. For the density, the calculation gives 10.86 Mg/m³. For the energy relative to the elements, the calculation gives 0.78 eV/f.u.


Here is ErHf2Mo after structural relaxation from Alexandria via LeMat-Bulk. Energies are from PBE.

```
4
Lattice="3.401 0.000 0.000 0.000 3.401 0.000 0.000 0.000 7.736" Properties=species:S:1:pos:R:3 pbc="T T T"
Er 0.000 0.000 0.000
Hf 1.700 1.700 2.346
Hf 1.700 1.700 5.390
Mo 0.000 0.000 3.868
```

The density of states at the Fermi level is 5.5 states/eV/f.u. The value obtained for the energy above the most stable polymorph in this dataset is 0 meV/atom. As for the space group: P4/mmm. The calculated total energy comes out at -8.78 eV per atom. For the density, the calculation gives 11.51 Mg/m³. For the energy relative to the elements, the calculation gives 0.17 eV/f.u.


> Which of these has the lowest energy relative to the elements?

ErHfMo4


> Which of these has the highest calculated total energy?

ErHf2Mn


> What is the energy relative to the elements in the sixth record?

0.17 eV/f.u.


> The lowest calculated total energy belongs to which entry?

ErHfMo4